The following is a DFT calculation (PBE) of a relaxed Si3HBr crystal.

## Properties
Electronic total energy, eV per cell: -11.74
Energy relative to the lowest polymorph listed for this composition, eV/atom: 0.930
Total magnetization, μB per atom: 0.126

a = 5.0942 Å, b = 5.0942 Å, c = 5.0942 Å
α = 90.00°, β = 90.00°, γ = 90.00°
Last column: nearest neighbours and their distance in Å.
Space group Pm-3m (No. 221)
Asymmetric unit:
Si: 0.0000 0.0000 0.5000 x3  2 Br 2.55
H: 0.5000 0.5000 0.5000 x1  12 Si 3.60
Br: 0.0000 0.0000 0.0000 x1  6 Si 2.55